Entry 1:
Compound: GdZrFeRh
Source: Alexandria
Functional: PBE-GGA
Structure: optimized geometry

Unit cell a=6.6664 b=6.6664 c=6.6664 alpha=90.00 beta=90.00 gamma=90.00
Closest atoms and distances in Å follow each position.
Space group F-43m (No. 216)
Symmetry-distinct sites (fractional):
Gd: 0.0000 0.0000 0.0000 [4 per cell]  4 Fe 2.89, 4 Rh 2.89
Zr: 0.0000 0.0000 0.5000 [4 per cell]  4 Fe 2.89, 4 Rh 2.89
Fe: 0.2500 0.2500 0.7500 [4 per cell]  4 Zr 2.89, 4 Gd 2.89
Rh: 0.2500 0.2500 0.2500 [4 per cell]  4 Zr 2.89, 4 Gd 2.89

Summary:
ΔH_f (0 K) = -321 meV/atom
Calculated total energy = -9.931 eV/atom

---

Entry 2:
Compound: CoPd3
Source: Alexandria
Functional: PBE-GGA
Structure: optimized geometry

Unit cell a=5.4947 b=5.4947 c=4.4413 alpha=90.00 beta=90.00 gamma=120.00
Closest atoms and distances in Å follow each position.
Space group P6_3/mmc (No. 194)
Symmetry-distinct sites (fractional):
Co: 0.3333 0.6667 0.2500 [2 per cell]  12 Pd 2.71-2.75
Pd: 0.1700 0.3399 0.7500 [6 per cell]  8 Pd 2.69-2.80, 4 Co 2.71-2.75

Summary:
ΔH_f (0 K) = 57 meV/atom
Calculated total energy = -5.614 eV/atom

---

Entry 3:
Compound: BaMnHg3
Source: Alexandria
Functional: PBE-GGA
Structure: optimized geometry

Unit cell a=6.4497 b=6.4497 c=6.4497 alpha=90.00 beta=90.00 gamma=90.00
Closest atoms and distances in Å follow each position.
Space group Pm-3m (No. 221)
Symmetry-distinct sites (fractional):
Ba: 0.0000 0.0000 0.0000 [1 per cell]  6 Hg 3.22
Mn: 0.5000 0.5000 0.5000 [1 per cell]  12 Hg 4.56
Hg: 0.0000 0.0000 0.5000 [3 per cell]  2 Ba 3.22

Summary:
Energy relative to the lowest polymorph listed for this composition = 692 meV per atom
ΔH_f (0 K) = 784 meV/atom
Calculated total energy = -1.616 eV/atom

---

Entry 4:
Compound: Ca3Tm3AgS8
Source: Alexandria
Functional: PBE-GGA
Structure: optimized geometry

Unit cell a=7.8361 b=7.8361 c=19.4384 alpha=90.00 beta=90.00 gamma=120.00
Closest atoms and distances in Å follow each position.
Space group R-3m (No. 166, hexagonal axes)
Symmetry-distinct sites (fractional):
Ca: 0.0000 0.5000 0.0000 [9 per cell]  6 S 2.82-2.86
Tm: 0.0000 0.5000 0.5000 [9 per cell]  6 S 2.71-2.74
Ag: 0.0000 0.0000 0.5000 [3 per cell]  6 S 2.81
S: 0.0000 0.0000 0.2463 [6 per cell]  3 Tm 2.74, 3 Ca 2.82
S: 0.0128 0.5064 0.7536 [18 per cell]  2 Tm 2.71, 1 Ag 2.81, 2 Ca 2.86

Summary:
ΔE_f (raw) = -27.2 eV per formula unit
Calculated total energy = -5.501 eV/atom

---

Entry 5:
Compound: Be2HgPb
Source: Alexandria
Functional: PBE-GGA
Structure: optimized geometry

Unit cell a=3.7756 b=3.7756 c=10.5270 alpha=90.00 beta=90.00 gamma=90.00
Closest atoms and distances in Å follow each position.
Space group I-4m2 (No. 119)
Symmetry-distinct sites (fractional):
Be: 0.0000 0.0000 0.0000 [2 per cell]  4 Pb 2.67
Be: 0.0000 0.5000 0.2500 [2 per cell]  4 Hg 2.67
Hg: 0.0000 0.5000 0.7500 [2 per cell]  4 Be 2.67
Pb: 0.0000 0.0000 0.5000 [2 per cell]  4 Be 2.67

Summary:
Energy relative to the lowest polymorph listed for this composition = 373 meV per atom
ΔH_f (0 K) = 745 meV/atom
Calculated total energy = -2.120 eV/atom

---

Entry 6:
Compound: LaFeTe2N
Source: Alexandria
Functional: PBE-GGA
Structure: optimized geometry

Unit cell a=5.4768 b=5.4768 c=3.5889 alpha=90.00 beta=90.00 gamma=90.00
Closest atoms and distances in Å follow each position.
Space group P4/mmm (No. 123)
Symmetry-distinct sites (fractional):
La: 0.0000 0.0000 0.0000 [1 per cell]  8 Te 3.27, 2 La 3.59
Fe: 0.5000 0.5000 0.5000 [1 per cell]  2 N 1.79
Te: 0.0000 0.5000 0.5000 [2 per cell]  2 Fe 2.74
N: 0.5000 0.5000 0.0000 [1 per cell]  2 Fe 1.79

Summary:
Energy relative to the lowest polymorph listed for this composition = 0 meV per atom
ΔE_f (raw) = -2.0 eV per formula unit
Calculated total energy = -6.000 eV/atom

---

Entry 7:
Compound: TbPrAgPb
Source: Alexandria
Functional: PBE-GGA
Structure: optimized geometry

Unit cell a=7.6338 b=7.6338 c=7.6338 alpha=90.00 beta=90.00 gamma=90.00
Closest atoms and distances in Å follow each position.
Space group F-43m (No. 216)
Symmetry-distinct sites (fractional):
Tb: 0.0000 0.0000 0.0000 [4 per cell]  4 Ag 3.31, 4 Pb 3.31
Pr: 0.0000 0.0000 0.5000 [4 per cell]  4 Pb 3.31, 4 Ag 3.31
Ag: 0.2500 0.2500 0.2500 [4 per cell]  4 Tb 3.31, 4 Pr 3.31
Pb: 0.2500 0.2500 0.7500 [4 per cell]  4 Tb 3.31, 4 Pr 3.31

Summary:
ΔH_f (0 K) = -407 meV/atom
Calculated total energy = -4.400 eV/atom

---

Entry 8:
Compound: La3Sm3Er8
Source: Alexandria
Functional: PBE-GGA
Structure: optimized geometry

Unit cell a=5.6822 b=10.7817 c=15.2841 alpha=90.00 beta=90.00 gamma=90.00
Closest atoms and distances in Å follow each position.
Space group Immm (No. 71)
Symmetry-distinct sites (fractional):
La: 0.0000 0.0000 0.0000 [2 per cell]  4 Sm 3.57, 4 Er 3.99
La: 0.0000 0.5000 0.3122 [4 per cell]  2 Sm 3.59, 8 Er 3.63-3.67
Sm: 0.0000 0.0000 0.5000 [2 per cell]  2 Sm 3.23
Sm: 0.0000 0.2996 0.5000 [4 per cell]  1 Sm 3.23, 4 La 3.57-3.59, 4 Er 3.58
Er: 0.0000 0.1622 0.2810 [8 per cell]  6 Er 3.35-3.54, 3 La 3.63-3.67, 1 Sm 3.66
Er: 0.0000 0.3406 0.1019 [8 per cell]  5 Er 3.11-3.44

Summary:
ΔH_f (0 K) = 103 meV/atom
Calculated total energy = -4.571 eV/atom

---

Entry 9:
Compound: ErCo4
Source: Alexandria
Functional: PBE-GGA
Structure: optimized geometry

Unit cell a=3.8701 b=3.8701 c=9.6945 alpha=90.00 beta=90.00 gamma=90.00
Closest atoms and distances in Å follow each position.
Space group I4/mmm (No. 139)
Symmetry-distinct sites (fractional):
Er: 0.0000 0.0000 0.0000 [2 per cell]  16 Co 2.96-3.10
Co: 0.0000 0.0000 0.3834 [4 per cell]  5 Co 2.26-2.33
Co: 0.0000 0.5000 0.2500 [4 per cell]  4 Co 2.33

Summary:
Energy relative to the lowest polymorph listed for this composition = 0 meV per atom
ΔH_f (0 K) = -88 meV/atom
Calculated total energy = -6.685 eV/atom

---

Entry 10:
Compound: Pm2Ho4Th
Source: Alexandria
Functional: PBE-GGA
Structure: optimized geometry

Unit cell a=6.2384 b=3.6024 c=20.2791 alpha=90.00 beta=95.92 gamma=90.00
Closest atoms and distances in Å follow each position.
Space group Cm (No. 8)
Symmetry-distinct sites (fractional):
Pm: 0.0000 0.0000 0.0000 [2 per cell]  6 Ho 3.57-3.58, 6 Pm 3.60
Pm: 0.0941 0.0000 0.2871 [2 per cell]  6 Ho 3.55-3.58, 6 Pm 3.60
Ho: 0.2852 0.0000 0.8556 [2 per cell]  9 Ho 3.49-3.60, 3 Pm 3.58
Ho: 0.3088 0.5000 0.4313 [2 per cell]  3 Th 3.55, 3 Pm 3.58, 6 Ho 3.60
Ho: 0.3807 0.0000 0.1442 [2 per cell]  6 Pm 3.55-3.58, 6 Ho 3.60
Ho: 0.4042 0.5000 0.7166 [2 per cell]  9 Ho 3.49-3.60, 3 Th 3.55
Th: 0.1896 0.0000 0.5740 [2 per cell]  6 Ho 3.55, 6 Th 3.60

Summary:
Energy relative to the lowest polymorph listed for this composition = 0 meV per atom
ΔH_f (0 K) = 25 meV/atom
Calculated total energy = -5.008 eV/atom

---

Entry 11:
Compound: LaHo4Pd2
Source: Alexandria
Functional: PBE-GGA
Structure: optimized geometry

Unit cell a=7.7311 b=6.4757 c=8.1866 alpha=90.00 beta=111.21 gamma=90.00
Closest atoms and distances in Å follow each position.
Space group P2_1/m (No. 11)
Symmetry-distinct sites (fractional):
La: 0.1364 0.2500 0.0189 [2 per cell]  4 Pd 3.16-3.44, 2 Ho 3.40-3.53
Ho: 0.0299 0.2500 0.4030 [2 per cell]  1 Pd 2.72
Ho: 0.2493 0.7500 0.3517 [2 per cell]  2 Pd 2.75-2.94
Ho: 0.4011 0.0025 0.7642 [4 per cell]  4 Pd 2.95-3.20, 2 Ho 3.20-3.27
Pd: 0.2802 0.7500 0.0038 [2 per cell]  5 Ho 2.94-2.98, 1 La 3.16
Pd: 0.3881 0.2500 0.4210 [2 per cell]  2 Ho 2.72-2.75

Summary:
ΔH_f (0 K) = -435 meV/atom
Calculated total energy = -5.238 eV/atom

---

Entry 12:
Compound: Ca2Pb
Source: Alexandria
Functional: PBE-GGA
Structure: optimized geometry

Unit cell a=9.4780 b=9.4780 c=9.4780 alpha=90.00 beta=90.00 gamma=90.00
Closest atoms and distances in Å follow each position.
Space group Fd-3m (No. 227, origin choice 2)
Symmetry-distinct sites (fractional):
Ca: 0.0000 0.0000 0.0000 [16 per cell]  6 Ca 3.35
Pb: 0.1250 0.1250 0.6250 [8 per cell]  12 Ca 3.93, 4 Pb 4.10

Summary:
ΔH_f (0 K) = 91 meV/atom
Calculated total energy = -2.480 eV/atom